(1)
This record from the Alexandria database describes a relaxed structure of GaIrSe2. The functional is PBE-GGA.

```
GaIrSe2
1.0
5.816 0.000 0.000
0.000 5.816 0.000
2.908 2.908 5.749
Ir Ga Se
2 2 4
Cartesian
0.000 0.000 0.000 Ir
5.816 2.908 2.874 Ir
2.908 2.908 0.000 Ga
2.908 5.816 2.874 Ga
4.533 1.454 1.437 Se
1.284 4.362 1.437 Se
4.362 4.192 4.312 Se
7.271 7.441 4.312 Se
```

Calculated values
Its space group is I-42d, No. 122. As for the density of states at the Fermi level: 0.35 states/eV per atom. The value obtained for the total energy is -4.7532 eV/atom. The value obtained for the formation energy (no corrections) is -0.04 eV/atom.

=====

(2)
This record from the Alexandria database describes a relaxed structure of Ga2IrSe. The functional is PBE-GGA.

```
Ga2IrSe
1.0
-4.631 2.198 -2.841
-3.081 -0.049 4.985
-2.098 6.248 2.209
Ir Ga Se
2 4 2
Cartesian
0.000 0.000 0.000 Ir
-5.293 4.760 0.220 Ir
-3.921 2.985 -0.672 Ga
-2.912 1.751 3.385 Ga
-4.388 5.493 2.336 Ga
-8.400 6.565 3.659 Ga
-3.856 1.075 1.072 Se
-4.518 3.637 4.134 Se
```

Calculated values
Its space group is I-42d, No. 122. As for the density of states at the Fermi level: 0.84 states/eV per atom. The value obtained for the total energy is -4.6066 eV/atom. The value obtained for the formation energy (no corrections) is -0.01 eV/atom.

=====

(3)
This record from the Alexandria database describes a relaxed structure of GaIr3Se. The functional is PBE-GGA.

```
GaIr3Se
1.0
4.614 0.000 0.000
0.000 4.614 0.000
0.000 0.000 4.614
Ir Ga Se
3 1 1
Cartesian
0.000 2.307 0.000 Ir
0.000 0.000 2.307 Ir
2.307 0.000 0.000 Ir
2.307 2.307 2.307 Ga
0.000 0.000 0.000 Se
```

Calculated values
Its space group is Pm-3m, No. 221. As for the energy above the lowest structure with this stoichiometry: 0 meV/atom. As for the density of states at the Fermi level: 1.17 states/eV per atom. The value obtained for the total energy is -5.3962 eV/atom. The value obtained for the formation energy (no corrections) is 1.22 eV/atom.

=====

(4)
This record from the Alexandria database describes a relaxed structure of GaIr2Se. The functional is PBE-GGA.

```
GaIr2Se
1.0
-2.226 2.920 3.998
-3.717 -3.881 0.766
0.546 -3.086 6.243
Ir Ga Se
4 2 2
Cartesian
-1.749 0.607 4.209 Ir
-2.435 -2.871 2.486 Ir
-1.769 -2.623 6.458 Ir
-4.840 -3.208 8.861 Ir
-2.971 -0.481 2.382 Ga
-3.071 -3.724 4.695 Ga
0.000 0.000 0.000 Se
-2.325 -0.323 6.311 Se
```

Calculated values
Its space group is I-42d, No. 122. As for the density of states at the Fermi level: 0.40 states/eV per atom. The value obtained for the total energy is -5.7537 eV/atom. The value obtained for the formation energy (no corrections) is 0.30 eV/atom.

=====

Question: Which value of formation energy (no corrections) does entry 4 give?
Answer: 0.30 eV/atom